1.
VASP calculation (PBE-GGA) on crystalline Tm5ScAu6 at its relaxed geometry.

Structure (CIF):
```
data_Tm5ScAu6
_chemical_formula_sum 'Tm10 Sc2 Au12'
_cell_length_a 8.6464
_cell_length_b 14.9838
_cell_length_c 4.9792
_cell_angle_alpha 90.00
_cell_angle_beta 125.06
_cell_angle_gamma 90.00
_symmetry_space_group_name_H-M 'C 1 2/m 1'
_symmetry_Int_Tables_number 12
loop_
_symmetry_equiv_pos_as_xyz
'x,y,z'
'-x,-y,-z'
'-x,y,-z'
'x,-y,z'
'x+1/2,y+1/2,z'
'-x+1/2,-y+1/2,-z'
'-x+1/2,y+1/2,-z'
'x+1/2,-y+1/2,z'
loop_
_atom_site_label
_atom_site_fract_x
_atom_site_fract_y
_atom_site_fract_z
Tm1 0.0000 0.0000 0.0000
Tm2 0.0000 0.1657 0.5000
Tm3 0.0000 0.3327 0.0000
Sc1 0.0000 0.5000 0.5000
Au1 0.2395 0.5000 0.2398
Au2 0.2446 0.3366 0.7447
```

2.
VASP calculation (PBE-GGA) on crystalline Ce8Ge2Os at its relaxed geometry.

Relative energy among the computed polymorphs in meV per atom: 9

Structure (CIF):
```
data_Ce8Ge2Os
_chemical_formula_sum 'Ce16 Ge4 Os2'
_cell_length_a 16.6910
_cell_length_b 4.9288
_cell_length_c 7.1499
_cell_angle_alpha 90.00
_cell_angle_beta 111.45
_cell_angle_gamma 90.00
_symmetry_space_group_name_H-M 'C 1 2/m 1'
_symmetry_Int_Tables_number 12
loop_
_symmetry_equiv_pos_as_xyz
'x,y,z'
'-x,-y,-z'
'-x,y,-z'
'x,-y,z'
'x+1/2,y+1/2,z'
'-x+1/2,-y+1/2,-z'
'-x+1/2,y+1/2,-z'
'x+1/2,-y+1/2,z'
loop_
_atom_site_label
_atom_site_fract_x
_atom_site_fract_y
_atom_site_fract_z
Ce1 0.0014 0.0000 0.2631
Ce2 0.0888 0.5000 0.9210
Ce3 0.1645 0.5000 0.4252
Ce4 0.2119 0.0000 0.7788
Ge1 0.1717 0.0000 0.1679
Os1 0.0000 0.5000 0.5000
```

3.
VASP calculation (PBE-GGA) on crystalline YMnCu2 at its relaxed geometry.

Structure (CIF):
```
data_YMnCu2
_chemical_formula_sum 'Y2 Mn2 Cu4'
_cell_length_a 3.5588
_cell_length_b 4.3619
_cell_length_c 8.7250
_cell_angle_alpha 90.00
_cell_angle_beta 90.00
_cell_angle_gamma 90.00
_symmetry_space_group_name_H-M 'I m m 2'
_symmetry_Int_Tables_number 44
loop_
_symmetry_equiv_pos_as_xyz
'x,y,z'
'-x,-y,z'
'-x,y,z'
'x,-y,z'
'x+1/2,y+1/2,z+1/2'
'-x+1/2,-y+1/2,z+1/2'
'-x+1/2,y+1/2,z+1/2'
'x+1/2,-y+1/2,z+1/2'
loop_
_atom_site_label
_atom_site_fract_x
_atom_site_fract_y
_atom_site_fract_z
Y1 0.0000 0.0000 0.0000
Mn1 0.0000 0.5000 0.7701
Cu1 0.0000 0.0000 0.5175
Cu2 0.0000 0.5000 0.2331
```

4.
VASP calculation (PBE-GGA) on crystalline Pa2NbGa5 at its relaxed geometry.

Structure (CIF):
```
data_Pa2NbGa5
_chemical_formula_sum 'Pa4 Nb2 Ga10'
_cell_length_a 6.4249
_cell_length_b 6.4249
_cell_length_c 7.5897
_cell_angle_alpha 90.00
_cell_angle_beta 90.00
_cell_angle_gamma 90.00
_symmetry_space_group_name_H-M 'I 4 m m'
_symmetry_Int_Tables_number 107
_symmetry_space_group_name_Hall 'I 4 -2'
loop_
_atom_site_label
_atom_site_fract_x
_atom_site_fract_y
_atom_site_fract_z
Pa1 0.0000 0.5000 0.0000
Nb1 0.0000 0.0000 0.1080
Ga1 0.0000 0.0000 0.4795
Ga2 0.2070 0.2070 0.7542
```

| no. | energy of formation from the pure elements (eV/atom) | uncorrected energy (eV/atom) |
| --- | --- | --- |
| 1 | -0.871 | -4.90 |
| 2 | -0.290 | -6.47 |
| 3 | 0.131 | -5.83 |
| 4 | -0.270 | -5.79 |